# 1
5
Lattice="5.6525 0.0000 0.0000 0.0000 5.6525 0.0000 0.0000 0.0000 5.8356" Properties=species:S:1:pos:R:3 comment="TiSbI2Br (PBE-GGA, relaxed)" mass_density_g_cm3=4.5 n_ef_per_ev_atom=1.5506 relative_energy_ev_per_atom=1.208 pbc="T T T"
Ti 0.0000 0.0000 0.0000
Sb 2.8263 2.8263 0.0000
I 0.0000 2.8263 2.9178
I 2.8263 0.0000 2.9178
Br 2.8263 2.8263 2.9178

=====

# 2
12
Lattice="3.9797 0.0000 0.0000 -1.9899 3.4466 0.0000 0.0000 0.0000 24.9043" Properties=species:S:1:pos:R:3 comment="Ac2InO (PBE-GGA, relaxed)" mass_density_g_cm3=8.5 n_ef_per_ev_atom=1.0566 relative_energy_ev_per_atom=0.237 pbc="T T T"
Ac 0.0000 0.0000 5.6429
Ac 0.0000 0.0000 19.2614
Ac 0.0000 2.2977 10.9600
Ac 0.0000 2.2977 22.2457
Ac 1.9899 1.1488 2.6586
Ac 1.9899 1.1488 13.9443
In 0.0000 0.0000 0.0000
In 0.0000 2.2977 16.6029
In 1.9899 1.1488 8.3014
O 0.0000 0.0000 12.4521
O 0.0000 2.2977 4.1507
O 1.9899 1.1488 20.7536